Entry 1:
A geometry-optimized TaCrPt3 structure. Source: the Alexandria database, functional PBE.

abc: 4.543 4.543 4.543
angles: 90.00 90.00 90.00
Sites, in units of the cell vectors:
Ta1 0.000 0.000 0.000
Cr1 0.500 0.500 0.500
Pt1 0.000 0.500 0.500
Pt2 0.500 0.000 0.500
Pt3 0.500 0.500 0.000

Symmetry: Pm-3m, No. 221
Final energy, eV for the cell shown: -34.60
Total magnetic moment, μB/cell: 1.5
Energy of formation, eV/atom: 1.00
Calculated density, g/cm³: 14.488
E above lowest polymorph, meV per atom: 67.1


Entry 2:
A geometry-optimized TaCr2Pt structure. Source: the Alexandria database, functional PBE.

abc: 2.670 2.670 8.258
angles: 90.00 90.00 99.78
Sites, in units of the cell vectors:
Ta1 0.000 0.000 0.000
Cr1 0.500 0.500 0.261
Cr2 0.500 0.500 0.739
Pt1 0.000 0.000 0.500

Symmetry: Cmmm, No. 65
Final energy, eV for the cell shown: -36.86
Total magnetic moment, μB/cell: 0.0
Energy of formation, eV/atom: 0.07
Calculated density, g/cm³: 13.744
E above lowest polymorph, meV per atom: 241.1


Entry 3:
A geometry-optimized TaCr2Pt structure. Source: the Alexandria database, functional PBE.

abc: 2.717 3.966 5.454
angles: 90.00 100.48 90.00
Sites, in units of the cell vectors:
Ta1 0.000 0.000 0.000
Cr1 0.527 0.500 0.273
Cr2 0.848 0.000 0.455
Pt1 0.398 0.500 0.733

Symmetry: Pm, No. 6
Final energy, eV for the cell shown: -37.51
Total magnetic moment, μB/cell: 0.0
Energy of formation, eV/atom: -0.09
Calculated density, g/cm³: 13.796
E above lowest polymorph, meV per atom: 77.9